[1]
# GGA-PBE SiSnF2, relaxed
# - Formation energy (no corrections): -1.009 eV/atom
# - Energy above the lowest structure with this stoichiometry: 317.7 meV/atom
data_SiSnF2
_symmetry_space_group_name_H-M 'R -3 m'
_symmetry_Int_Tables_number 166
_symmetry_space_group_name_Hall '-R 3 2"'
_cell_length_a 3.3573
_cell_length_b 3.3573
_cell_length_c 26.9744
_cell_angle_alpha 90.00
_cell_angle_beta 90.00
_cell_angle_gamma 120.00
loop_
_atom_site_label
_atom_site_type_symbol
_atom_site_fract_x
_atom_site_fract_y
_atom_site_fract_z
Si1 Si 0.0000 0.0000 0.0000
Sn1 Sn 0.0000 0.0000 0.5000
F1 F 0.0000 0.0000 0.3728



[2]
# GGA-PBE Si3SnF, relaxed
# - Formation energy (no corrections): 0.369 eV/atom
# - Energy above the lowest structure with this stoichiometry: 0.0 meV/atom
data_Si3SnF
_symmetry_space_group_name_H-M 'P m -3 m'
_symmetry_Int_Tables_number 221
_symmetry_space_group_name_Hall '-P 4 2 3'
_cell_length_a 4.5339
_cell_length_b 4.5339
_cell_length_c 4.5339
_cell_angle_alpha 90.00
_cell_angle_beta 90.00
_cell_angle_gamma 90.00
loop_
_atom_site_label
_atom_site_type_symbol
_atom_site_fract_x
_atom_site_fract_y
_atom_site_fract_z
Si1 Si 0.0000 0.0000 0.5000
Sn1 Sn 0.5000 0.5000 0.5000
F1 F 0.0000 0.0000 0.0000